Density functional theory data (PBE-GGA) for a relaxed SiPOs2 crystal.

Lattice parameters (Å, degrees): 4.131 4.131 4.945 79.01 79.01 40.60
Fractional positions:
Os: 0.494 0.494 0.493
Os: 0.006 0.006 0.007
Si: 0.750 0.750 0.750
P: 0.250 0.250 0.250

Properties
formation energy without anion corrections = -5.0 kJ per mole of atoms
spin magnetization = 0.00 μB per formula unit
uncorrected energy = -8.3746 eV per atom
polymorph energy (0 for the lowest one) = 112.8 meV/atom
crystal system = monoclinic